VASP calculation (meta-GGA SCAN) on a crystal of BaGaN2 relaxed with PBEsol.

Calculated values
N(E_F) in states/eV per cell: 6.9
Uncorrected formation energy in kJ per mole of atoms: 1.3
Density in g/cm3: 4.17

a b c (Å): 4.1963 4.1963 18.4259
angles (deg): 90.00 90.00 120.00
With the nearest neighbours (Å) after each atom.
Space group R-3m (No. 166, hexagonal axes)
Inequivalent atoms, fractional coordinates:
Ba: 0.0000 0.0000 0.0000  6 N 2.76
Ga: 0.0000 0.0000 0.5000  2 N 1.74
N: 0.0000 0.0000 0.4054  1 Ga 1.74

---

VASP calculation (meta-GGA SCAN) on a crystal of ZrS3I relaxed with PBEsol.

Calculated values
N(E_F) in states/eV per cell: 5.4
Uncorrected formation energy in kJ per mole of atoms: -39.3
Density in g/cm3: 4.30

a b c (Å): 4.9516 4.9516 4.9516
angles (deg): 90.00 90.00 90.00
With the nearest neighbours (Å) after each atom.
Space group Pm-3m (No. 221)
Inequivalent atoms, fractional coordinates:
Zr: 0.0000 0.0000 0.0000  6 S 2.48
S: 0.0000 0.0000 0.5000  2 Zr 2.48
I: 0.5000 0.5000 0.5000  12 S 3.50

---

Number 1: total moment 0.250 μB per atom. Number 2: total moment 0.000 μB per atom.